1.
Compound: CaCe4Zn5
Source: Alexandria
Functional: GGA-PBE
Structure: relaxed

As for the crystal system: tetragonal. The calculation puts the formation energy from the elements at -0.177 eV per atom. Its total moment is 1.5 μB per cell.

The structure belongs to space group P4/mmm (No. 123); the cell edges are 3.273, 3.273 and 21.290 Å and the angles 90.00°, 90.00° and 90.00°. Symmetry generates all atoms from Ca at (0.000, 0.000, 0.000), Ce at (0.000, 0.000, 0.198), Ce at (0.000, 0.000, 0.400), Zn at (0.500, 0.500, 0.099), Zn at (0.500, 0.500, 0.299) and Zn at (0.500, 0.500, 0.500).

***

2.
Compound: PmHoGe2Pd2
Source: Alexandria
Functional: GGA-PBE
Structure: relaxed

As for the crystal system: trigonal. The calculation puts the formation energy from the elements at -0.928 eV per atom. Its total moment is 0.0 μB per cell.

The structure belongs to space group P-3m1 (No. 164); the cell edges are 4.4465, 4.4465 and 7.1864 Å and the angles 90.00°, 90.00° and 120.00°. Symmetry generates all atoms from Pm at (0.0000, 0.0000, 0.0000), Ho at (0.0000, 0.0000, 0.5000), Ge at (0.3333, 0.6667, 0.2628) and Pd at (0.3333, 0.6667, 0.7142).

***

3.
Compound: TmMgZn4
Source: Alexandria
Functional: GGA-PBE
Structure: relaxed

As for the crystal system: tetragonal. The calculation puts the formation energy from the elements at -0.107 eV per atom. Its total moment is 0.0 μB per cell.

The structure belongs to space group I-4m2 (No. 119); the cell edges are 3.867, 3.867 and 15.909 Å and the angles 90.00°, 90.00° and 90.00°. Symmetry generates all atoms from Tm at (0.000, 0.000, 0.000), Mg at (0.000, 0.500, 0.750), Zn at (0.000, 0.000, 0.420) and Zn at (0.000, 0.500, 0.174).

***

4.
Compound: Zn2SnAu10
Source: Alexandria
Functional: GGA-PBE
Structure: relaxed

As for the crystal system: orthorhombic. The calculation puts the formation energy from the elements at -0.040 eV per atom. Its total moment is 0.0 μB per cell.

The structure belongs to space group Fmmm (No. 69); the cell edges are 5.735, 12.853 and 13.454 Å and the angles 90.00°, 90.00° and 90.00°. Symmetry generates all atoms from Zn at (0.250, 0.250, 0.000), Sn at (0.000, 0.000, 0.000), Au at (0.000, 0.113, 0.394), Au at (0.000, 0.171, 0.159) and Au at (0.250, 0.000, 0.250).

***

> Which value of total moment does entry 1 give?

1.5 μB per cell